[1]
Compound: Tb4AlHg
Source: the Alexandria database
Functional: GGA-PBE
Structure: relaxed Values from VASP.

The structure in Quantum ESPRESSO input format:
```
&SYSTEM
  ibrav = 0, nat = 6, ntyp = 3
/
ATOMIC_SPECIES
Tb 158.93 Tb.upf
Al 26.98 Al.upf
Hg 200.59 Hg.upf
CELL_PARAMETERS angstrom
2.531 1.461 8.357
-2.531 1.461 8.357
0.000 -2.923 8.357
ATOMIC_POSITIONS crystal
Tb 0.123 0.123 0.123
Tb 0.374 0.374 0.374
Tb 0.626 0.626 0.626
Tb 0.877 0.877 0.877
Al 0.000 0.000 0.000
Hg 0.500 0.500 0.500
```

**Relative energy among the computed polymorphs**: 103.8 kJ/mol of formula units
**Formation energy from the elements**: -0.0735 eV per atom

***

[2]
Compound: Ca2AcAu3
Source: the Alexandria database
Functional: GGA-PBE
Structure: relaxed Values from VASP.

The structure in Quantum ESPRESSO input format:
```
&SYSTEM
  ibrav = 0, nat = 6, ntyp = 3
/
ATOMIC_SPECIES
Ca 40.08 Ca.upf
Ac 227.00 Ac.upf
Au 196.97 Au.upf
CELL_PARAMETERS angstrom
3.737 0.000 0.000
0.000 3.737 0.000
0.000 0.000 11.220
ATOMIC_POSITIONS crystal
Ca 0.000 0.000 0.159
Ca 0.000 0.000 0.841
Ac 0.000 0.000 0.500
Au 0.500 0.500 0.000
Au 0.500 0.500 0.321
Au 0.500 0.500 0.679
```

**Relative energy among the computed polymorphs**: 11.7 kJ/mol of formula units
**Formation energy from the elements**: -0.7695 eV per atom

***

[3]
Compound: La2YPt
Source: the Alexandria database
Functional: GGA-PBE
Structure: relaxed Values from VASP.

The structure in Quantum ESPRESSO input format:
```
&SYSTEM
  ibrav = 0, nat = 4, ntyp = 3
/
ATOMIC_SPECIES
La 138.91 La.upf
Y 88.91 Y.upf
Pt 195.08 Pt.upf
CELL_PARAMETERS angstrom
3.767 0.000 0.000
0.000 5.299 0.000
0.000 0.000 5.380
ATOMIC_POSITIONS crystal
La 0.000 0.000 0.000
La 0.500 0.500 0.000
Y 0.000 0.500 0.500
Pt 0.500 0.000 0.500
```

**Relative energy among the computed polymorphs**: 129.9 kJ/mol of formula units
**Formation energy from the elements**: -0.3125 eV per atom

***

[4]
Compound: Tb6Si2SnSe3
Source: the Alexandria database
Functional: GGA-PBE
Structure: relaxed Values from VASP.

The structure in Quantum ESPRESSO input format:
```
&SYSTEM
  ibrav = 0, nat = 12, ntyp = 4
/
ATOMIC_SPECIES
Tb 158.93 Tb.upf
Si 28.09 Si.upf
Sn 118.71 Sn.upf
Se 78.96 Se.upf
CELL_PARAMETERS angstrom
9.142 -2.074 0.000
9.142 2.074 0.000
-2.010 0.000 8.202
ATOMIC_POSITIONS crystal
Tb 0.004 0.004 0.261
Tb 0.329 0.329 0.425
Tb 0.329 0.329 0.902
Tb 0.671 0.671 0.098
Tb 0.671 0.671 0.575
Tb 0.996 0.996 0.739
Si 0.167 0.167 0.334
Si 0.833 0.833 0.666
Sn 0.500 0.500 0.000
Se 0.166 0.166 0.832
Se 0.500 0.500 0.500
Se 0.834 0.834 0.168
```

**ΔE_f (raw)**: -1278 meV/atom

***

[5]
Compound: Ho5Co4Ru
Source: the Alexandria database
Functional: GGA-PBE
Structure: relaxed Values from VASP.

The structure in Quantum ESPRESSO input format:
```
&SYSTEM
  ibrav = 0, nat = 10, ntyp = 3
/
ATOMIC_SPECIES
Ho 164.93 Ho.upf
Co 58.93 Co.upf
Ru 101.07 Ru.upf
CELL_PARAMETERS angstrom
3.352 0.000 0.000
0.000 3.352 0.000
0.000 0.000 16.506
ATOMIC_POSITIONS crystal
Ho 0.000 0.000 0.000
Ho 0.000 0.000 0.199
Ho 0.000 0.000 0.398
Ho 0.000 0.000 0.602
Ho 0.000 0.000 0.801
Co 0.500 0.500 0.099
Co 0.500 0.500 0.296
Co 0.500 0.500 0.704
Co 0.500 0.500 0.901
Ru 0.500 0.500 0.500
```

**Formation energy from the elements**: -0.2088 eV per atom

***

[6]
Compound: NaCa2LaCd
Source: the Alexandria database
Functional: GGA-PBE
Structure: relaxed Values from VASP.

The structure in Quantum ESPRESSO input format:
```
&SYSTEM
  ibrav = 0, nat = 5, ntyp = 4
/
ATOMIC_SPECIES
Na 22.99 Na.upf
Ca 40.08 Ca.upf
La 138.91 La.upf
Cd 112.41 Cd.upf
CELL_PARAMETERS angstrom
6.027 0.000 0.000
0.000 6.027 0.000
0.000 0.000 6.037
ATOMIC_POSITIONS crystal
Na 0.000 0.000 0.000
Ca 0.000 0.500 0.500
Ca 0.500 0.000 0.500
La 0.500 0.500 0.000
Cd 0.500 0.500 0.500
```

**Formation energy from the elements**: 0.1502 eV per atom